Density functional theory data (PBE) for AlVTc after structural relaxation.

Calculated values
Offset from the most stable computed form = 71 meV per atom
Energy relative to the elements = -98 kJ/mol of formula units
VASP energy = -96.973 eV/cell

```
data_AlVTc
_chemical_formula_sum 'Al4 V4 Tc4'
_cell_length_a 4.4327
_cell_length_b 8.8561
_cell_length_c 4.3537
_cell_angle_alpha 90.00
_cell_angle_beta 90.00
_cell_angle_gamma 90.00
_space_group_name_H-M_alt 'C m m m'
_space_group_IT_number 65
_space_group_name_Hall '-C 2 2'
loop_
_atom_site_label
_atom_site_type_symbol
_atom_site_fract_x
_atom_site_fract_y
_atom_site_fract_z
_atom_site_occupancy
Al1 Al 0.0000 0.0000 0.0000 1
Al2 Al 0.0000 0.5000 0.5000 1
V1 V 0.0000 0.1825 0.5000 1
Tc1 Tc 0.0000 0.3254 0.0000 1
```